# YBiCl2, relaxed, DFT PBE-GGA
data_YBiCl2
_symmetry_space_group_name_H-M 'I -4 2 d'
_symmetry_Int_Tables_number 122
_symmetry_space_group_name_Hall 'I -4 2bw'
_cell_length_a 4.699
_cell_length_b 4.699
_cell_length_c 19.404
_cell_angle_alpha 90.00
_cell_angle_beta 90.00
_cell_angle_gamma 90.00
loop_
_atom_site_label
_atom_site_type_symbol
_atom_site_fract_x
_atom_site_fract_y
_atom_site_fract_z
Y1 Y 0.000 0.000 0.000
Bi1 Bi 0.000 0.000 0.500
Cl1 Cl 0.224 0.250 0.125
# Fermi-level density of states (states/eV/atom): 0.023
# DFT total energy (eV/atom): -4.609
# Distance to the lowest polymorph of the same formula (meV per atom): 132
# E_form (uncorrected) (eV per atom): -1.10

***

# Sm3HoHg, relaxed, DFT PBE-GGA
data_Sm3HoHg
_symmetry_space_group_name_H-M 'C 1 2/m 1'
_symmetry_Int_Tables_number 12
_cell_length_a 11.363
_cell_length_b 7.522
_cell_length_c 8.011
_cell_angle_alpha 90.00
_cell_angle_beta 111.01
_cell_angle_gamma 90.00
loop_
_symmetry_equiv_pos_as_xyz
'x,y,z'
'-x,-y,-z'
'-x,y,-z'
'x,-y,z'
'x+1/2,y+1/2,z'
'-x+1/2,-y+1/2,-z'
'-x+1/2,y+1/2,-z'
'x+1/2,-y+1/2,z'
loop_
_atom_site_label
_atom_site_type_symbol
_atom_site_fract_x
_atom_site_fract_y
_atom_site_fract_z
Sm1 Sm 0.057 0.000 0.236
Sm2 Sm 0.161 0.251 0.644
Ho1 Ho 0.060 0.500 0.242
Hg1 Hg 0.241 0.500 0.001
# Fermi-level density of states (states/eV/atom): 0.975
# DFT total energy (eV/atom): -3.908
# Distance to the lowest polymorph of the same formula (meV per atom): 81
# E_form (eV/atom): -0.10

***

# Rb4Ce3NdTe8, relaxed, DFT PBE-GGA
data_Rb4Ce3NdTe8
_symmetry_space_group_name_H-M 'R -3 m'
_symmetry_Int_Tables_number 166
_symmetry_space_group_name_Hall '-R 3 2"'
_cell_length_a 9.3693
_cell_length_b 9.3693
_cell_length_c 25.6094
_cell_angle_alpha 90.00
_cell_angle_beta 90.00
_cell_angle_gamma 120.00
loop_
_atom_site_label
_atom_site_type_symbol
_atom_site_fract_x
_atom_site_fract_y
_atom_site_fract_z
Rb1 Rb 0.0000 0.0000 0.0000
Rb2 Rb 0.0000 0.5000 0.0000
Ce1 Ce 0.0000 0.5000 0.5000
Nd1 Nd 0.0000 0.0000 0.5000
Te1 Te 0.0000 0.0000 0.2347
Te2 Te 0.0007 0.5004 0.2348
# Fermi-level density of states (states/eV/atom): 1.209
# DFT total energy (eV/atom): -4.579
# E_form (uncorrected) (eV per atom): -1.36

***

# YRe2Pt, relaxed, DFT PBE-GGA
data_YRe2Pt
_symmetry_space_group_name_H-M 'I -4 2 d'
_symmetry_Int_Tables_number 122
_symmetry_space_group_name_Hall 'I -4 2bw'
_cell_length_a 7.850
_cell_length_b 7.850
_cell_length_c 5.149
_cell_angle_alpha 90.00
_cell_angle_beta 90.00
_cell_angle_gamma 90.00
loop_
_atom_site_label
_atom_site_type_symbol
_atom_site_fract_x
_atom_site_fract_y
_atom_site_fract_z
Y1 Y 0.000 0.000 0.000
Re1 Re 0.207 0.250 0.625
Pt1 Pt 0.000 0.000 0.500
# Fermi-level density of states (states/eV/atom): 1.380
# DFT total energy (eV/atom): -8.777
# Distance to the lowest polymorph of the same formula (meV per atom): 706
# E_form (eV/atom): 0.57

***

# K2NaCl, relaxed, DFT PBE-GGA
data_K2NaCl
_symmetry_space_group_name_H-M 'R 3 m'
_symmetry_Int_Tables_number 160
_symmetry_space_group_name_Hall 'R 3 -2"'
_cell_length_a 4.3691
_cell_length_b 4.3691
_cell_length_c 32.2861
_cell_angle_alpha 90.00
_cell_angle_beta 90.00
_cell_angle_gamma 120.00
loop_
_atom_site_label
_atom_site_type_symbol
_atom_site_fract_x
_atom_site_fract_y
_atom_site_fract_z
K1 K 0.0000 0.0000 0.0000
K2 K 0.0000 0.0000 0.2135
Na1 Na 0.0000 0.0000 0.7734
Cl1 Cl 0.0000 0.0000 0.6068
# Fermi-level density of states (states/eV/atom): 0.266
# DFT total energy (eV/atom): -2.245
# Distance to the lowest polymorph of the same formula (meV per atom): 0
# E_form (uncorrected) (eV per atom): -0.90

***

# CsSm2Co, relaxed, DFT PBE-GGA
data_CsSm2Co
_symmetry_space_group_name_H-M 'R -3 m'
_symmetry_Int_Tables_number 166
_symmetry_space_group_name_Hall '-R 3 2"'
_cell_length_a 4.0427
_cell_length_b 4.0427
_cell_length_c 32.6583
_cell_angle_alpha 90.00
_cell_angle_beta 90.00
_cell_angle_gamma 120.00
loop_
_atom_site_label
_atom_site_type_symbol
_atom_site_fract_x
_atom_site_fract_y
_atom_site_fract_z
Cs1 Cs 0.0000 0.0000 0.0000
Sm1 Sm 0.0000 0.0000 0.1235
Co1 Co 0.0000 0.0000 0.5000
# Fermi-level density of states (states/eV/atom): 0.809
# DFT total energy (eV/atom): -4.208
# E_form (eV/atom): 0.14

***

# Tb12PrTl3, relaxed, DFT PBE-GGA
data_Tb12PrTl3
_symmetry_space_group_name_H-M 'P 4/m m m'
_symmetry_Int_Tables_number 123
_symmetry_space_group_name_Hall '-P 4 2'
_cell_length_a 4.886
_cell_length_b 4.886
_cell_length_c 20.040
_cell_angle_alpha 90.00
_cell_angle_beta 90.00
_cell_angle_gamma 90.00
loop_
_atom_site_label
_atom_site_type_symbol
_atom_site_fract_x
_atom_site_fract_y
_atom_site_fract_z
Tb1 Tb 0.000 0.000 0.000
Tb2 Tb 0.000 0.000 0.244
Tb3 Tb 0.000 0.000 0.500
Tb4 Tb 0.000 0.500 0.122
Tb5 Tb 0.000 0.500 0.368
Pr1 Pr 0.500 0.500 0.500
Tl1 Tl 0.500 0.500 0.000
Tl2 Tl 0.500 0.500 0.243
# Fermi-level density of states (states/eV/atom): 1.352
# DFT total energy (eV/atom): -4.341
# E_form (eV/atom): -0.13

***

# Cs3NdNp3Te8, relaxed, DFT PBE-GGA
data_Cs3NdNp3Te8
_symmetry_space_group_name_H-M 'C 1 2/m 1'
_symmetry_Int_Tables_number 12
_cell_length_a 15.821
_cell_length_b 9.141
_cell_length_c 10.453
_cell_angle_alpha 90.00
_cell_angle_beta 120.14
_cell_angle_gamma 90.00
loop_
_symmetry_equiv_pos_as_xyz
'x,y,z'
'-x,-y,-z'
'-x,y,-z'
'x,-y,z'
'x+1/2,y+1/2,z'
'-x+1/2,-y+1/2,-z'
'-x+1/2,y+1/2,-z'
'x+1/2,-y+1/2,z'
loop_
_atom_site_label
_atom_site_type_symbol
_atom_site_fract_x
_atom_site_fract_y
_atom_site_fract_z
Cs1 Cs 0.000 0.000 0.000
Cs2 Cs 0.250 0.250 0.000
Nd1 Nd 0.000 0.000 0.500
Np1 Np 0.000 0.500 0.500
Np2 Np 0.250 0.250 0.500
Te1 Te 0.021 0.256 0.309
Te2 Te 0.230 0.500 0.689
Te3 Te 0.234 0.000 0.690
# Fermi-level density of states (states/eV/atom): 1.388
# DFT total energy (eV/atom): -5.723
# E_form (uncorrected) (eV per atom): -0.97

***

# LiSm2Th, relaxed, DFT PBE-GGA
data_LiSm2Th
_symmetry_space_group_name_H-M 'P 4/m m m'
_symmetry_Int_Tables_number 123
_symmetry_space_group_name_Hall '-P 4 2'
_cell_length_a 5.810
_cell_length_b 5.810
_cell_length_c 3.614
_cell_angle_alpha 90.00
_cell_angle_beta 90.00
_cell_angle_gamma 90.00
loop_
_atom_site_label
_atom_site_type_symbol
_atom_site_fract_x
_atom_site_fract_y
_atom_site_fract_z
Li1 Li 0.000 0.000 0.000
Sm1 Sm 0.000 0.500 0.500
Th1 Th 0.500 0.500 0.000
# Fermi-level density of states (states/eV/atom): 1.186
# DFT total energy (eV/atom): -4.538
# Distance to the lowest polymorph of the same formula (meV per atom): 108
# E_form (eV/atom): 0.16

***

# NdHoErTl, relaxed, DFT PBE-GGA
data_NdHoErTl
_symmetry_space_group_name_H-M 'P m m m'
_symmetry_Int_Tables_number 47
_cell_length_a 4.832
_cell_length_b 4.902
_cell_length_c 4.917
_cell_angle_alpha 90.00
_cell_angle_beta 90.00
_cell_angle_gamma 90.00
loop_
_symmetry_equiv_pos_as_xyz
'x,y,z'
'-x,-y,-z'
'-x,-y,z'
'x,y,-z'
'x,-y,-z'
'-x,y,z'
'-x,y,-z'
'x,-y,z'
loop_
_atom_site_label
_atom_site_type_symbol
_atom_site_fract_x
_atom_site_fract_y
_atom_site_fract_z
Nd1 Nd 0.000 0.000 0.000
Ho1 Ho 0.500 0.500 0.000
Er1 Er 0.500 0.000 0.500
Tl1 Tl 0.000 0.500 0.500
# Fermi-level density of states (states/eV/atom): 1.380
# DFT total energy (eV/atom): -4.247
# Distance to the lowest polymorph of the same formula (meV per atom): 0
# E_form (eV/atom): -0.18

***

# YThCd, relaxed, DFT PBE-GGA
data_YThCd
_symmetry_space_group_name_H-M 'C m c m'
_symmetry_Int_Tables_number 63
_symmetry_space_group_name_Hall '-C 2c 2'
_cell_length_a 3.572
_cell_length_b 17.761
_cell_length_c 5.503
_cell_angle_alpha 90.00
_cell_angle_beta 90.00
_cell_angle_gamma 90.00
loop_
_atom_site_label
_atom_site_type_symbol
_atom_site_fract_x
_atom_site_fract_y
_atom_site_fract_z
Y1 Y 0.000 0.090 0.250
Th1 Th 0.000 0.226 0.750
Cd1 Cd 0.000 0.439 0.250
# Fermi-level density of states (states/eV/atom): 1.094
# DFT total energy (eV/atom): -5.080
# Distance to the lowest polymorph of the same formula (meV per atom): 0
# E_form (eV/atom): -0.15

***

# TbDyAlCo, relaxed, DFT PBE-GGA
data_TbDyAlCo
_symmetry_space_group_name_H-M 'F -4 3 m'
_symmetry_Int_Tables_number 216
_symmetry_space_group_name_Hall 'F -4 2 3'
_cell_length_a 7.028
_cell_length_b 7.028
_cell_length_c 7.028
_cell_angle_alpha 90.00
_cell_angle_beta 90.00
_cell_angle_gamma 90.00
loop_
_atom_site_label
_atom_site_type_symbol
_atom_site_fract_x
_atom_site_fract_y
_atom_site_fract_z
Tb1 Tb 0.000 0.000 0.000
Dy1 Dy 0.000 0.000 0.500
Al1 Al 0.250 0.250 0.750
Co1 Co 0.250 0.250 0.250
# Fermi-level density of states (states/eV/atom): 0.743
# DFT total energy (eV/atom): -5.215
# E_form (eV/atom): -0.19

***

# TmInCu5, relaxed, DFT PBE-GGA
data_TmInCu5
_symmetry_space_group_name_H-M 'P n m a'
_symmetry_Int_Tables_number 62
_cell_length_a 8.264
_cell_length_b 4.989
_cell_length_c 10.508
_cell_angle_alpha 90.00
_cell_angle_beta 90.00
_cell_angle_gamma 90.00
loop_
_symmetry_equiv_pos_as_xyz
'x,y,z'
'-x,-y,-z'
'-x+1/2,-y,z+1/2'
'x+1/2,y,-z+1/2'
'x+1/2,-y+1/2,-z+1/2'
'-x+1/2,y+1/2,z+1/2'
'-x,y+1/2,-z'
'x,-y+1/2,z'
loop_
_atom_site_label
_atom_site_type_symbol
_atom_site_fract_x
_atom_site_fract_y
_atom_site_fract_z
Tm1 Tm 0.250 0.250 0.064
In1 In 0.137 0.250 0.362
Cu1 Cu 0.051 0.250 0.602
Cu2 Cu 0.068 0.502 0.812
Cu3 Cu 0.082 0.750 0.016
Cu4 Cu 0.187 0.750 0.239
# Fermi-level density of states (states/eV/atom): 0.577
# DFT total energy (eV/atom): -4.169
# E_form (eV/atom): -0.21

***

# MgTi, relaxed, DFT PBE-GGA
data_MgTi
_symmetry_space_group_name_H-M 'P 1 21/m 1'
_symmetry_Int_Tables_number 11
_cell_length_a 2.905
_cell_length_b 4.694
_cell_length_c 5.664
_cell_angle_alpha 90.00
_cell_angle_beta 90.46
_cell_angle_gamma 90.00
loop_
_symmetry_equiv_pos_as_xyz
'x,y,z'
'-x,-y,-z'
'-x,y+1/2,-z'
'x,-y+1/2,z'
loop_
_atom_site_label
_atom_site_type_symbol
_atom_site_fract_x
_atom_site_fract_y
_atom_site_fract_z
Mg1 Mg 0.246 0.250 0.398
Ti1 Ti 0.253 0.750 0.070
# Fermi-level density of states (states/eV/atom): 0.923
# DFT total energy (eV/atom): -4.572
# E_form (eV/atom): 0.17

***

# GdUPt2, relaxed, DFT PBE-GGA
data_GdUPt2
_symmetry_space_group_name_H-M 'F m -3 m'
_symmetry_Int_Tables_number 225
_symmetry_space_group_name_Hall '-F 4 2 3'
_cell_length_a 7.025
_cell_length_b 7.025
_cell_length_c 7.025
_cell_angle_alpha 90.00
_cell_angle_beta 90.00
_cell_angle_gamma 90.00
loop_
_atom_site_label
_atom_site_type_symbol
_atom_site_fract_x
_atom_site_fract_y
_atom_site_fract_z
Gd1 Gd 0.000 0.000 0.000
U1 U 0.000 0.000 0.500
Pt1 Pt 0.250 0.250 0.250
# Fermi-level density of states (states/eV/atom): 1.668
# DFT total energy (eV/atom): -10.111
# E_form (eV/atom): -0.75

***

# Mg2CdPd6, relaxed, DFT PBE-GGA
data_Mg2CdPd6
_symmetry_space_group_name_H-M 'I m m m'
_symmetry_Int_Tables_number 71
_symmetry_space_group_name_Hall '-I 2 2'
_cell_length_a 4.643
_cell_length_b 7.631
_cell_length_c 8.563
_cell_angle_alpha 90.00
_cell_angle_beta 90.00
_cell_angle_gamma 90.00
loop_
_atom_site_label
_atom_site_type_symbol
_atom_site_fract_x
_atom_site_fract_y
_atom_site_fract_z
Mg1 Mg 0.000 0.000 0.169
Cd1 Cd 0.000 0.000 0.500
Pd1 Pd 0.000 0.297 0.000
Pd2 Pd 0.000 0.310 0.332
# Fermi-level density of states (states/eV/atom): 0.451
# DFT total energy (eV/atom): -4.272
# E_form (eV/atom): -0.35

***

# KZnCd6, relaxed, DFT PBE-GGA
data_KZnCd6
_symmetry_space_group_name_H-M 'R -3 m'
_symmetry_Int_Tables_number 166
_symmetry_space_group_name_Hall '-R 3 2"'
_cell_length_a 4.8740
_cell_length_b 4.8740
_cell_length_c 31.1831
_cell_angle_alpha 90.00
_cell_angle_beta 90.00
_cell_angle_gamma 120.00
loop_
_atom_site_label
_atom_site_type_symbol
_atom_site_fract_x
_atom_site_fract_y
_atom_site_fract_z
K1 K 0.0000 0.0000 0.0000
Zn1 Zn 0.0000 0.0000 0.5000
Cd1 Cd 0.0000 0.0000 0.1373
Cd2 Cd 0.0000 0.0000 0.2464
Cd3 Cd 0.0000 0.0000 0.4088
# Fermi-level density of states (states/eV/atom): 0.377
# DFT total energy (eV/atom): -0.967
# E_form (eV/atom): 0.02

***

# TiMnCoNi, relaxed, DFT PBE-GGA
data_TiMnCoNi
_symmetry_space_group_name_H-M 'F -4 3 m'
_symmetry_Int_Tables_number 216
_symmetry_space_group_name_Hall 'F -4 2 3'
_cell_length_a 5.877
_cell_length_b 5.877
_cell_length_c 5.877
_cell_angle_alpha 90.00
_cell_angle_beta 90.00
_cell_angle_gamma 90.00
loop_
_atom_site_label
_atom_site_type_symbol
_atom_site_fract_x
_atom_site_fract_y
_atom_site_fract_z
Ti1 Ti 0.000 0.000 0.000
Mn1 Mn 0.000 0.000 0.500
Co1 Co 0.250 0.250 0.750
Ni1 Ni 0.250 0.250 0.250
# Fermi-level density of states (states/eV/atom): 1.133
# DFT total energy (eV/atom): -7.721
# E_form (eV/atom): -0.23

***

# AcLaErZn, relaxed, DFT PBE-GGA
data_AcLaErZn
_symmetry_space_group_name_H-M 'F -4 3 m'
_symmetry_Int_Tables_number 216
_symmetry_space_group_name_Hall 'F -4 2 3'
_cell_length_a 7.946
_cell_length_b 7.946
_cell_length_c 7.946
_cell_angle_alpha 90.00
_cell_angle_beta 90.00
_cell_angle_gamma 90.00
loop_
_atom_site_label
_atom_site_type_symbol
_atom_site_fract_x
_atom_site_fract_y
_atom_site_fract_z
Ac1 Ac 0.000 0.000 0.000
La1 La 0.250 0.250 0.750
Er1 Er 0.250 0.250 0.250
Zn1 Zn 0.000 0.000 0.500
# Fermi-level density of states (states/eV/atom): 1.692
# DFT total energy (eV/atom): -3.558
# Distance to the lowest polymorph of the same formula (meV per atom): 288
# E_form (eV/atom): 0.16

***

# KCdBr3, relaxed, DFT PBE-GGA
data_KCdBr3
_symmetry_space_group_name_H-M 'P -1'
_symmetry_Int_Tables_number 2
_cell_length_a 4.911
_cell_length_b 8.793
_cell_length_c 8.800
_cell_angle_alpha 73.39
_cell_angle_beta 89.63
_cell_angle_gamma 89.61
loop_
_symmetry_equiv_pos_as_xyz
'x,y,z'
'-x,-y,-z'
loop_
_atom_site_label
_atom_site_type_symbol
_atom_site_fract_x
_atom_site_fract_y
_atom_site_fract_z
K1 K 0.235 0.280 0.280
Cd1 Cd 0.000 0.185 0.815
Br1 Br 0.249 0.894 0.894
Br2 Br 0.258 0.436 0.828
Br3 Br 0.258 0.829 0.436
# Fermi-level density of states (states/eV/atom): 0.000
# DFT total energy (eV/atom): -2.606
# E_form (uncorrected) (eV per atom): -1.20